The following is a DFT calculation (PBE) of a relaxed structure of Pm2BiIr.

Properties
**Formation energy**: -0.663 eV/atom
**Offset from the most stable computed form**: 0.00 eV per formula unit
**VASP energy**: -24.89 eV for the cell shown

a = 3.5694 Å, b = 3.5694 Å, c = 8.3133 Å
α = 90.00°, β = 90.00°, γ = 90.00°
With the nearest neighbours (Å) after each atom.
Fractional coordinates of all 4 atoms:
Pm (0.0000, 0.0000, 0.2045)  4 Ir 3.04, 1 Pm 3.40
Pm (0.0000, 0.0000, 0.7955)  4 Ir 3.04, 1 Pm 3.40
Bi (0.5000, 0.5000, 0.5000)  8 Pm 3.52, 4 Bi 3.57
Ir (0.5000, 0.5000, 0.0000)  8 Pm 3.04

The following is a DFT calculation (PBE) of a relaxed structure of Li3Mg5Br12.

Properties
**Uncorrected formation energy**: -1277 meV/atom
**VASP energy**: -237.33 eV for the cell shown

a = 14.5711 Å, b = 14.5711 Å, c = 14.5711 Å
α = 109.47°, β = 109.47°, γ = 109.47°
With the nearest neighbours (Å) after each atom.
Fractional coordinates of all 80 atoms:
Li (0.1250, 0.2500, 0.3750)  8 Br 3.21-3.28
Li (0.1250, 0.3750, 0.7500)  8 Br 3.21-3.28
Li (0.2500, 0.3750, 0.1250)  8 Br 3.21-3.28
Li (0.2500, 0.8750, 0.6250)  8 Br 3.21-3.28
Li (0.3750, 0.1250, 0.2500)  8 Br 3.21-3.28
Li (0.3750, 0.7500, 0.1250)  8 Br 3.21-3.28
Li (0.6250, 0.2500, 0.8750)  8 Br 3.21-3.28
Li (0.6250, 0.8750, 0.7500)  8 Br 3.21-3.28
Li (0.7500, 0.1250, 0.3750)  8 Br 3.21-3.28
Li (0.7500, 0.6250, 0.8750)  8 Br 3.21-3.28
Li (0.8750, 0.6250, 0.2500)  8 Br 3.21-3.28
Li (0.8750, 0.7500, 0.6250)  8 Br 3.21-3.28
Mg (0.0000, 0.0000, 0.0000)  6 Br 2.76
Mg (0.0000, 0.0000, 0.5000)  6 Br 2.76
Mg (0.0000, 0.5000, 0.0000)  6 Br 2.76
Mg (0.0000, 0.5000, 0.5000)  6 Br 2.76
Mg (0.1250, 0.7500, 0.8750)  4 Br 2.55
Mg (0.1250, 0.8750, 0.2500)  4 Br 2.55
Mg (0.2500, 0.1250, 0.8750)  4 Br 2.55
Mg (0.2500, 0.6250, 0.3750)  4 Br 2.55
Mg (0.3750, 0.2500, 0.6250)  4 Br 2.55
Mg (0.3750, 0.6250, 0.7500)  4 Br 2.55
Mg (0.5000, 0.0000, 0.0000)  6 Br 2.76
Mg (0.5000, 0.0000, 0.5000)  6 Br 2.76
Mg (0.5000, 0.5000, 0.0000)  6 Br 2.76
Mg (0.5000, 0.5000, 0.5000)  6 Br 2.76
Mg (0.6250, 0.3750, 0.2500)  4 Br 2.55
Mg (0.6250, 0.7500, 0.3750)  4 Br 2.55
Mg (0.7500, 0.3750, 0.6250)  4 Br 2.55
Mg (0.7500, 0.8750, 0.1250)  4 Br 2.55
Mg (0.8750, 0.1250, 0.7500)  4 Br 2.55
Mg (0.8750, 0.2500, 0.1250)  4 Br 2.55
Br (0.0317, 0.2094, 0.1239)  2 Mg 2.55-2.76
Br (0.0317, 0.3223, 0.9078)  2 Mg 2.55-2.76
Br (0.0855, 0.7094, 0.6777)  2 Mg 2.55-2.76
Br (0.0855, 0.8761, 0.4078)  2 Mg 2.55-2.76
Br (0.0922, 0.6239, 0.4145)  2 Mg 2.55-2.76
Br (0.0922, 0.9683, 0.6777)  2 Mg 2.55-2.76
Br (0.1239, 0.0317, 0.2094)  2 Mg 2.55-2.76
Br (0.1239, 0.5922, 0.9145)  2 Mg 2.55-2.76
Br (0.1777, 0.2094, 0.5855)  2 Mg 2.55-2.76
Br (0.1777, 0.4683, 0.5922)  2 Mg 2.55-2.76
Br (0.2094, 0.1239, 0.0317)  2 Mg 2.55-2.76
Br (0.2094, 0.5855, 0.1777)  2 Mg 2.55-2.76
Br (0.2906, 0.3223, 0.9145)  2 Mg 2.55-2.76
Br (0.2906, 0.4683, 0.3761)  2 Mg 2.55-2.76
Br (0.3223, 0.9078, 0.0317)  2 Mg 2.55-2.76
Br (0.3223, 0.9145, 0.2906)  2 Mg 2.55-2.76
Br (0.3761, 0.2906, 0.4683)  2 Mg 2.55-2.76
Br (0.3761, 0.5855, 0.9078)  2 Mg 2.55-2.76
Br (0.4078, 0.0855, 0.8761)  2 Mg 2.55-2.76
Br (0.4078, 0.8223, 0.5317)  2 Mg 2.55-2.76
Br (0.4145, 0.0922, 0.6239)  2 Mg 2.55-2.76
Br (0.4145, 0.8223, 0.7906)  2 Mg 2.55-2.76
Br (0.4683, 0.3761, 0.2906)  2 Mg 2.55-2.76
Br (0.4683, 0.5922, 0.1777)  2 Mg 2.55-2.76
Br (0.5317, 0.4078, 0.8223)  2 Mg 2.55-2.76
Br (0.5317, 0.6239, 0.7094)  2 Mg 2.55-2.76
Br (0.5855, 0.1777, 0.2094)  2 Mg 2.55-2.76
Br (0.5855, 0.9078, 0.3761)  2 Mg 2.55-2.76
Br (0.5922, 0.1777, 0.4683)  2 Mg 2.55-2.76
Br (0.5922, 0.9145, 0.1239)  2 Mg 2.55-2.76
Br (0.6239, 0.4145, 0.0922)  2 Mg 2.55-2.76
Br (0.6239, 0.7094, 0.5317)  2 Mg 2.55-2.76
Br (0.6777, 0.0855, 0.7094)  2 Mg 2.55-2.76
Br (0.6777, 0.0922, 0.9683)  2 Mg 2.55-2.76
Br (0.7094, 0.5317, 0.6239)  2 Mg 2.55-2.76
Br (0.7094, 0.6777, 0.0855)  2 Mg 2.55-2.76
Br (0.7906, 0.4145, 0.8223)  2 Mg 2.55-2.76
Br (0.7906, 0.8761, 0.9683)  2 Mg 2.55-2.76
Br (0.8223, 0.5317, 0.4078)  2 Mg 2.55-2.76
Br (0.8223, 0.7906, 0.4145)  2 Mg 2.55-2.76
Br (0.8761, 0.4078, 0.0855)  2 Mg 2.55-2.76
Br (0.8761, 0.9683, 0.7906)  2 Mg 2.55-2.76
Br (0.9078, 0.0317, 0.3223)  2 Mg 2.55-2.76
Br (0.9078, 0.3761, 0.5855)  2 Mg 2.55-2.76
Br (0.9145, 0.1239, 0.5922)  2 Mg 2.55-2.76
Br (0.9145, 0.2906, 0.3223)  2 Mg 2.55-2.76
Br (0.9683, 0.6777, 0.0922)  2 Mg 2.55-2.76
Br (0.9683, 0.7906, 0.8761)  2 Mg 2.55-2.76

The following is a DFT calculation (PBE) of a relaxed structure of MnGePN.

Properties
**Uncorrected formation energy**: 185 meV/atom
**Offset from the most stable computed form**: 0.78 eV per formula unit
**VASP energy**: -26.78 eV for the cell shown

a = 4.2825 Å, b = 4.2825 Å, c = 4.8526 Å
α = 104.37°, β = 104.37°, γ = 38.19°
With the nearest neighbours (Å) after each atom.
Fractional coordinates of all 4 atoms:
Mn (0.0000, 0.0000, 0.0000)  2 N 1.96
Ge (0.8964, 0.8964, 0.4491)  1 N 2.04
P (0.7021, 0.7021, 0.8972)  1 N 1.73
N (0.6461, 0.6461, 0.2181)  1 P 1.73

The following is a DFT calculation (PBE) of a relaxed structure of UTiBr6.

Properties
**Uncorrected formation energy**: -1182 meV/atom
**Offset from the most stable computed form**: 0.30 eV per formula unit
**VASP energy**: -38.68 eV for the cell shown

a = 7.4341 Å, b = 7.4341 Å, c = 7.4341 Å
α = 55.63°, β = 55.63°, γ = 55.63°
With the nearest neighbours (Å) after each atom.
Fractional coordinates of all 8 atoms:
U (0.0000, 0.0000, 0.0000)  6 Br 2.85
Ti (0.5000, 0.5000, 0.5000)  6 Br 2.63
Br (0.1139, 0.4093, 0.7376)  1 Ti 2.63, 1 U 2.85
Br (0.2624, 0.8861, 0.5907)  1 Ti 2.63, 1 U 2.85
Br (0.4093, 0.7376, 0.1139)  1 Ti 2.63, 1 U 2.85
Br (0.5907, 0.2624, 0.8861)  1 Ti 2.63, 1 U 2.85
Br (0.7376, 0.1139, 0.4093)  1 Ti 2.63, 1 U 2.85
Br (0.8861, 0.5907, 0.2624)  1 Ti 2.63, 1 U 2.85

The following is a DFT calculation (PBE) of a relaxed structure of CdIn2Se4.

Properties
**Uncorrected formation energy**: -579 meV/atom
**Offset from the most stable computed form**: 0.02 eV per formula unit
**VASP energy**: -24.39 eV for the cell shown

a = 7.3528 Å, b = 7.3528 Å, c = 7.3528 Å
α = 132.86°, β = 132.86°, γ = 68.87°
With the nearest neighbours (Å) after each atom.
Fractional coordinates of all 7 atoms:
Cd (0.0000, 0.0000, 0.0000)  4 Se 2.70
In (0.2500, 0.7500, 0.5000)  4 Se 2.64
In (0.7500, 0.2500, 0.5000)  4 Se 2.64
Se (0.1590, 0.1590, 0.5515)  2 In 2.64, 1 Cd 2.70
Se (0.3926, 0.8410, 0.0000)  2 In 2.64, 1 Cd 2.70
Se (0.6074, 0.6074, 0.4485)  2 In 2.64, 1 Cd 2.70
Se (0.8410, 0.3926, 0.0000)  2 In 2.64, 1 Cd 2.70

The following is a DFT calculation (PBE) of a relaxed structure of NaPmBi3.

Properties
**Formation energy**: -0.339 eV/atom
**VASP energy**: -77.63 eV for the cell shown

a = 10.5712 Å, b = 6.1665 Å, c = 10.7642 Å
α = 90.00°, β = 90.00°, γ = 90.00°
With the nearest neighbours (Å) after each atom.
Fractional coordinates of all 20 atoms:
Na (0.1203, 0.2500, 0.0000)  7 Bi 3.50-3.73
Na (0.1203, 0.2500, 0.5000)  7 Bi 3.50-3.73
Na (0.8797, 0.7500, 0.0000)  7 Bi 3.50-3.73
Na (0.8797, 0.7500, 0.5000)  7 Bi 3.50-3.73
Pm (0.3760, 0.0011, 0.2500)  8 Bi 3.18-3.49
Pm (0.3760, 0.4989, 0.7500)  8 Bi 3.18-3.49
Pm (0.6240, 0.5011, 0.2500)  8 Bi 3.18-3.49
Pm (0.6240, 0.9989, 0.7500)  8 Bi 3.18-3.49
Bi (0.0797, 0.6294, 0.7500)  1 Pm 3.23, 3 Bi 3.24-3.51, 4 Na 3.50-3.59
Bi (0.0797, 0.8706, 0.2500)  1 Pm 3.23, 3 Bi 3.24-3.51, 4 Na 3.50-3.59
Bi (0.2963, 0.0017, 0.7500)  3 Pm 3.18-3.47, 1 Bi 3.24
Bi (0.2963, 0.4983, 0.2500)  3 Pm 3.18-3.47, 1 Bi 3.24
Bi (0.4728, 0.2500, 0.0000)  2 Bi 3.14, 4 Pm 3.26-3.49
Bi (0.4728, 0.2500, 0.5000)  2 Bi 3.14, 4 Pm 3.26-3.49
Bi (0.5272, 0.7500, 0.0000)  2 Bi 3.14, 4 Pm 3.26-3.49
Bi (0.5272, 0.7500, 0.5000)  2 Bi 3.14, 4 Pm 3.26-3.49
Bi (0.7037, 0.5017, 0.7500)  3 Pm 3.18-3.47, 1 Bi 3.24
Bi (0.7037, 0.9983, 0.2500)  3 Pm 3.18-3.47, 1 Bi 3.24
Bi (0.9203, 0.1294, 0.7500)  1 Pm 3.23, 3 Bi 3.24-3.51, 4 Na 3.50-3.59
Bi (0.9203, 0.3706, 0.2500)  1 Pm 3.23, 3 Bi 3.24-3.51, 4 Na 3.50-3.59

The following is a DFT calculation (PBE) of a relaxed structure of Er5Ru2Pt.

Properties
**Formation energy**: -0.622 eV/atom
**VASP energy**: -104.76 eV for the cell shown

a = 8.5448 Å, b = 8.5448 Å, c = 8.5448 Å
α = 128.88°, β = 128.88°, γ = 75.20°
With the nearest neighbours (Å) after each atom.
Fractional coordinates of all 16 atoms:
Er (0.0000, 0.0000, 0.0000)  4 Ru 2.88
Er (0.0302, 0.5302, 0.8401)  3 Ru 2.80-2.94, 2 Pt 3.12
Er (0.1901, 0.0302, 0.5000)  3 Ru 2.80-2.94, 2 Pt 3.12
Er (0.3099, 0.8099, 0.8401)  3 Ru 2.80-2.94, 2 Pt 3.12
Er (0.4698, 0.3099, 0.5000)  3 Ru 2.80-2.94, 2 Pt 3.12
Er (0.5000, 0.5000, 0.0000)  4 Ru 2.88
Er (0.5302, 0.6901, 0.5000)  3 Ru 2.80-2.94, 2 Pt 3.12
Er (0.6901, 0.1901, 0.1599)  3 Ru 2.80-2.94, 2 Pt 3.12
Er (0.8099, 0.9698, 0.5000)  3 Ru 2.80-2.94, 2 Pt 3.12
Er (0.9698, 0.4698, 0.1599)  3 Ru 2.80-2.94, 2 Pt 3.12
Ru (0.1321, 0.3679, 0.5000)  1 Ru 2.75, 8 Er 2.80-2.94
Ru (0.3679, 0.8679, 0.2358)  1 Ru 2.75, 8 Er 2.80-2.94
Ru (0.6321, 0.1321, 0.7642)  1 Ru 2.75, 8 Er 2.80-2.94
Ru (0.8679, 0.6321, 0.5000)  1 Ru 2.75, 8 Er 2.80-2.94
Pt (0.2500, 0.2500, 0.0000)  10 Er 3.12-3.38
Pt (0.7500, 0.7500, 0.0000)  10 Er 3.12-3.38

The following is a DFT calculation (PBE) of a relaxed structure of MnBe2Br.

Properties
**Uncorrected formation energy**: 774 meV/atom
**Offset from the most stable computed form**: 2.35 eV per formula unit
**VASP energy**: -15.20 eV for the cell shown

a = 4.9307 Å, b = 4.9307 Å, c = 4.9307 Å
α = 137.75°, β = 137.75°, γ = 61.28°
With the nearest neighbours (Å) after each atom.
Fractional coordinates of all 4 atoms:
Mn (0.0000, 0.0000, 0.0000)  8 Be 2.51-2.77, 4 Br 2.77
Be (0.2500, 0.7500, 0.5000)  4 Br 2.51, 4 Mn 2.77, 4 Be 2.77
Be (0.5000, 0.5000, 0.0000)  4 Mn 2.51, 4 Br 2.77, 4 Be 2.77
Br (0.7500, 0.2500, 0.5000)  8 Be 2.51-2.77, 4 Mn 2.77